(1)
## TmTe3 (meta-GGA SCAN)

Data for a crystal of TmTe3 relaxed with PBEsol.

Structure (extended XYZ):
```
8
Lattice="-0.668 -3.952 -1.429 2.915 0.607 -3.042 9.324 -2.347 8.466" Properties=species:S:1:pos:R:3 pbc="T T T"
Tm 5.250 -1.018 0.361
Tm 6.320 -4.674 3.635
Te 9.514 -5.205 3.611
Te 2.057 -0.487 0.385
Te 3.180 -2.160 -1.850
Te 8.390 -3.532 5.846
Te 7.463 -2.082 2.269
Te 4.107 -3.610 1.727
```

Properties
theoretical density = 8.01 Mg/m³
uncorrected formation energy = -0.96 eV/atom
SG = Cmcm, No. 63

(2)
## TmTe2 (meta-GGA SCAN)

Data for a crystal of TmTe2 relaxed with PBEsol.

Structure (extended XYZ):
```
6
Lattice="4.357 0.000 0.000 0.000 4.357 0.000 0.000 0.000 8.632" Properties=species:S:1:pos:R:3 pbc="T T T"
Tm 0.000 2.178 6.304
Tm 2.178 0.000 2.328
Te 0.000 2.178 3.210
Te 2.178 0.000 5.422
Te 2.178 2.178 0.000
Te 0.000 0.000 0.000
```

Properties
theoretical density = 8.60 Mg/m³
uncorrected formation energy = -1.18 eV/atom
SG = P4/nmm, No. 129

(3)
## Tm2Te5 (meta-GGA SCAN)

Data for a crystal of Tm2Te5 relaxed with PBEsol.

Structure (extended XYZ):
```
14
Lattice="4.291 0.000 0.000 0.000 4.293 0.000 -2.146 0.000 21.305" Properties=species:S:1:pos:R:3 pbc="T T T"
Tm 2.146 3.220 17.063
Tm 0.000 1.073 4.242
Tm 2.146 3.220 8.238
Tm 0.000 1.073 13.067
Te 0.000 3.220 1.858
Te 2.146 1.073 19.447
Te 0.000 3.220 19.445
Te 2.146 1.073 1.860
Te 0.000 3.220 10.653
Te 2.146 1.073 10.652
Te 2.146 3.220 13.922
Te 0.000 1.073 7.383
Te 2.146 3.220 5.177
Te 0.000 1.073 16.128
```

Properties
theoretical density = 8.26 Mg/m³
uncorrected formation energy = -1.06 eV/atom
SG = Cmcm, No. 63

Number 1: total magnetization 0.00 μB per cell. Number 2: total magnetization 0.00 μB per cell. Number 3: total magnetization 0.00 μB per cell.